1.
Entry from Alexandria: a relaxed ReHgAu2 crystal (PBE).

Lattice parameters (Å, degrees): 9.6476 2.7908 5.3630 90.00 98.15 90.00
Space group Cm (No. 8)
Inequivalent atoms, fractional coordinates:
Re  0.0000  0.0000  0.0000 (multiplicity 2)
Hg  0.2524  0.0000  0.7440 (multiplicity 2)
Au  0.2414  0.5000  0.2257 (multiplicity 2)
Au  0.4967  0.0000  0.4842 (multiplicity 2)

Spin magnetization   0.00 μB/cell
Energy of formation   0.5900 eV/atom

2.
Entry from Alexandria: a relaxed Re2HgAu crystal (PBE).

Lattice parameters (Å, degrees): 2.9489 2.9489 8.1716 90.00 90.00 90.00
Space group P4mm (No. 99)
Inequivalent atoms, fractional coordinates:
Re  0.0000  0.0000  0.0000 (multiplicity 1)
Re  0.5000  0.5000  0.1841 (multiplicity 1)
Hg  0.5000  0.5000  0.7261 (multiplicity 1)
Au  0.0000  0.0000  0.4433 (multiplicity 1)

Spin magnetization   0.00 μB/cell
Energy of formation   0.3438 eV/atom

3.
Entry from Alexandria: a relaxed Re2Hg2Au crystal (PBE).

Lattice parameters (Å, degrees): 6.8362 6.8362 4.1770 90.00 90.00 90.00
Space group P4/mbm (No. 127)
Inequivalent atoms, fractional coordinates:
Re  0.1196  0.3804  0.0000 (multiplicity 4)
Hg  0.1823  0.6823  0.5000 (multiplicity 4)
Au  0.0000  0.0000  0.0000 (multiplicity 2)

E above lowest polymorph   0 meV/atom
Spin magnetization   0.00 μB/cell
Energy of formation   0.8413 eV/atom

4.
Entry from Alexandria: a relaxed ReHg2Au crystal (PBE).

Lattice parameters (Å, degrees): 2.8613 4.3468 6.0607 90.00 90.00 90.00
Space group Pmm2 (No. 25)
Inequivalent atoms, fractional coordinates:
Re  0.0000  0.0000  0.0000 (multiplicity 1)
Hg  0.0000  0.0000  0.4869 (multiplicity 1)
Hg  0.5000  0.5000  0.7682 (multiplicity 1)
Au  0.5000  0.5000  0.2309 (multiplicity 1)

E above lowest polymorph   190 meV/atom
Spin magnetization   0.26 μB/cell
Energy of formation   0.7404 eV/atom

5.
Entry from Alexandria: a relaxed ReHgAu2 crystal (PBE).

Lattice parameters (Å, degrees): 5.8745 8.7858 2.7557 90.00 90.00 90.00
Space group Cmmm (No. 65)
Inequivalent atoms, fractional coordinates:
Re  0.0000  0.0000  0.0000 (multiplicity 2)
Hg  0.0000  0.5000  0.0000 (multiplicity 2)
Au  0.2500  0.2500  0.5000 (multiplicity 4)

Spin magnetization   0.00 μB/cell
Energy of formation   0.5480 eV/atom

6.
Entry from Alexandria: a relaxed ReHgAu2 crystal (PBE).

Lattice parameters (Å, degrees): 2.7894 5.1019 10.3185 90.00 90.00 90.00
Space group Imm2 (No. 44)
Inequivalent atoms, fractional coordinates:
Re  0.0000  0.0000  0.0000 (multiplicity 2)
Hg  0.0000  0.5000  0.2549 (multiplicity 2)
Au  0.0000  0.0000  0.4901 (multiplicity 2)
Au  0.0000  0.5000  0.7315 (multiplicity 2)

Spin magnetization   1.34 μB/cell
Energy of formation   0.5986 eV/atom

7.
Entry from Alexandria: a relaxed ReHg2Au crystal (PBE).

Lattice parameters (Å, degrees): 2.8851 2.8851 9.2602 90.00 90.00 90.00
Space group P4mm (No. 99)
Inequivalent atoms, fractional coordinates:
Re  0.0000  0.0000  0.0000 (multiplicity 1)
Hg  0.0000  0.0000  0.4770 (multiplicity 1)
Hg  0.5000  0.5000  0.7640 (multiplicity 1)
Au  0.5000  0.5000  0.2114 (multiplicity 1)

E above lowest polymorph   67 meV/atom
Spin magnetization   0.10 μB/cell
Energy of formation   0.6182 eV/atom

8.
Entry from Alexandria: a relaxed Re4HgAu crystal (PBE).

Lattice parameters (Å, degrees): 7.4575 7.4575 7.4575 90.00 90.00 90.00
Space group F-43m (No. 216)
Inequivalent atoms, fractional coordinates:
Re  0.1244  0.1244  0.1244 (multiplicity 16)
Hg  0.0000  0.0000  0.5000 (multiplicity 4)
Au  0.2500  0.2500  0.7500 (multiplicity 4)

Spin magnetization   0.00 μB/cell
Energy of formation   0.8326 eV/atom